1.
# Mg3NiPb

Crystalline Mg3NiPb at its relaxed geometry (GGA-PBE, Alexandria). Values from VASP.

```
&SYSTEM
  ibrav = 0, nat = 5, ntyp = 3
/
ATOMIC_SPECIES
Pb 207.20 Pb.upf
Ni 58.69 Ni.upf
Mg 24.30 Mg.upf
ATOMIC_POSITIONS crystal
Pb 0.500 0.500 0.500
Ni 0.000 0.000 0.000
Mg 0.000 0.500 0.000
Mg 0.000 0.000 0.500
Mg 0.500 0.000 0.000
CELL_PARAMETERS angstrom
-3.723 -0.587 3.092
-1.260 -4.111 -2.298
2.884 -2.555 2.988
```

Results
energy of formation	0.048	eV/atom
distance to the lowest polymorph of the same formula	13.0	kJ per mole of atoms
V	23.2	Å³/atom
total energy	-2.81	eV per atom



2.
# CaCe2PN5

Crystalline CaCe2PN5 at its relaxed geometry (GGA-PBE, Alexandria). Values from VASP.

```
&SYSTEM
  ibrav = 0, nat = 18, ntyp = 4
/
ATOMIC_SPECIES
Ca 40.08 Ca.upf
Ce 140.12 Ce.upf
P 30.97 P.upf
N 14.01 N.upf
ATOMIC_POSITIONS crystal
Ca 0.250 0.250 0.500
Ca 0.750 0.750 0.500
Ce 0.187 0.313 0.000
Ce 0.687 0.187 0.000
Ce 0.313 0.813 0.000
Ce 0.813 0.687 0.000
P 0.250 0.750 0.500
P 0.750 0.250 0.500
N 0.015 0.515 0.300
N 0.716 0.216 0.700
N 0.985 0.485 0.700
N 0.216 0.985 0.700
N 0.485 0.716 0.700
N 0.784 0.015 0.300
N 0.515 0.284 0.300
N 0.284 0.784 0.300
N 0.500 0.500 0.000
N 0.000 0.000 0.000
CELL_PARAMETERS angstrom
-2.467 1.266 -6.078
0.066 -6.534 -1.388
-3.740 2.178 5.643
```

Results
formation energy without anion corrections	-1.210	eV/atom
V	13.2	Å³/atom
total energy	-7.98	eV per atom



3.
# SrCaS2O6

Crystalline SrCaS2O6 at its relaxed geometry (GGA-PBE, Alexandria). Values from VASP.

```
&SYSTEM
  ibrav = 0, nat = 10, ntyp = 4
/
ATOMIC_SPECIES
Sr 87.62 Sr.upf
Ca 40.08 Ca.upf
S 32.06 S.upf
O 16.00 O.upf
ATOMIC_POSITIONS crystal
Sr 0.000 0.000 0.000
Ca 0.500 0.500 0.500
S 0.728 0.728 0.815
S 0.272 0.272 0.185
O 0.029 0.486 0.724
O 0.760 0.029 0.724
O 0.514 0.240 0.276
O 0.971 0.514 0.276
O 0.240 0.971 0.276
O 0.486 0.760 0.724
CELL_PARAMETERS angstrom
5.272 0.000 0.000
2.636 4.565 0.000
2.636 1.522 6.428
```

Results
formation energy without anion corrections	-2.081	eV/atom
V	15.5	Å³/atom
total energy	-6.25	eV per atom



4.
# LiMg2Au

Crystalline LiMg2Au at its relaxed geometry (GGA-PBE, Alexandria). Values from VASP.

```
&SYSTEM
  ibrav = 0, nat = 4, ntyp = 3
/
ATOMIC_SPECIES
Mg 24.30 Mg.upf
Au 196.97 Au.upf
Li 6.94 Li.upf
ATOMIC_POSITIONS crystal
Mg 0.000 0.000 0.500
Mg 0.000 0.500 0.000
Au 0.500 0.000 0.000
Li 0.500 0.500 0.500
CELL_PARAMETERS angstrom
-1.650 -3.138 0.989
1.877 -2.076 -3.454
3.503 -1.044 2.531
```

Results
energy of formation	-0.407	eV/atom
V	18.2	Å³/atom
total energy	-2.50	eV per atom



5.
# GaHgTeI

Crystalline GaHgTeI at its relaxed geometry (GGA-PBE, Alexandria). Values from VASP.

```
&SYSTEM
  ibrav = 0, nat = 4, ntyp = 4
/
ATOMIC_SPECIES
Ga 69.72 Ga.upf
Hg 200.59 Hg.upf
Te 127.60 Te.upf
I 126.90 I.upf
ATOMIC_POSITIONS crystal
Ga 0.239 0.239 0.197
Hg 0.239 0.239 0.465
Te 0.572 0.572 0.067
I 0.907 0.907 0.655
CELL_PARAMETERS angstrom
4.221 0.014 0.013
2.099 3.662 0.013
-0.038 -0.022 9.480
```

Results
formation energy without anion corrections	-0.300	eV/atom
V	36.6	Å³/atom
total energy	-2.31	eV per atom



6.
# MnSe2Br

Crystalline MnSe2Br at its relaxed geometry (GGA-PBE, Alexandria). Values from VASP.

```
&SYSTEM
  ibrav = 0, nat = 4, ntyp = 3
/
ATOMIC_SPECIES
Mn 54.94 Mn.upf
Se 78.96 Se.upf
Br 79.90 Br.upf
ATOMIC_POSITIONS crystal
Mn 0.500 0.500 0.500
Se 0.887 0.887 0.887
Se 0.113 0.113 0.113
Br 0.000 0.000 0.000
CELL_PARAMETERS angstrom
-3.815 -3.475 6.169
-0.454 -4.776 6.455
-1.250 -1.515 7.799
```

Results
formation energy without anion corrections	-0.089	eV/atom
distance to the lowest polymorph of the same formula	26.3	kJ per mole of atoms
V	22.0	Å³/atom
total energy	-4.54	eV per atom



7.
# CsTi2Pt

Crystalline CsTi2Pt at its relaxed geometry (GGA-PBE, Alexandria). Values from VASP.

```
&SYSTEM
  ibrav = 0, nat = 4, ntyp = 3
/
ATOMIC_SPECIES
Cs 132.91 Cs.upf
Pt 195.08 Pt.upf
Ti 47.87 Ti.upf
ATOMIC_POSITIONS crystal
Cs 0.000 0.000 0.000
Pt 0.500 0.500 0.500
Ti 0.250 0.250 0.250
Ti 0.750 0.750 0.750
CELL_PARAMETERS angstrom
-0.686 -4.653 0.976
-2.173 -1.303 4.080
-4.430 -1.852 -0.124
```

Results
energy of formation	0.689	eV/atom
V	19.6	Å³/atom
total energy	-4.98	eV per atom



8.
# Ta2Ti3Nb7

Crystalline Ta2Ti3Nb7 at its relaxed geometry (GGA-PBE, Alexandria). Values from VASP.

```
&SYSTEM
  ibrav = 0, nat = 12, ntyp = 3
/
ATOMIC_SPECIES
Ta 180.95 Ta.upf
Ti 47.87 Ti.upf
Nb 92.91 Nb.upf
ATOMIC_POSITIONS crystal
Ta 0.332 0.666 0.334
Ta 0.668 0.334 0.666
Ti 0.500 0.500 0.000
Ti 0.833 0.165 0.332
Ti 0.167 0.835 0.668
Nb 0.751 0.749 0.498
Nb 0.249 0.251 0.502
Nb 0.914 0.584 0.170
Nb 0.000 0.000 0.000
Nb 0.086 0.416 0.830
Nb 0.583 0.919 0.837
Nb 0.417 0.081 0.163
CELL_PARAMETERS angstrom
-2.548 -2.091 0.296
-0.487 -0.069 -4.685
7.718 -11.668 1.726
```

Results
energy of formation	0.015	eV/atom
V	17.9	Å³/atom
total energy	-9.81	eV per atom



9.
# InSbOs3

Crystalline InSbOs3 at its relaxed geometry (GGA-PBE, Alexandria). Values from VASP.

```
&SYSTEM
  ibrav = 0, nat = 5, ntyp = 3
/
ATOMIC_SPECIES
Sb 121.76 Sb.upf
Os 190.23 Os.upf
In 114.82 In.upf
ATOMIC_POSITIONS crystal
Sb 0.000 0.000 0.000
Os 0.000 0.500 0.000
Os 0.000 0.000 0.500
Os 0.500 0.000 0.000
In 0.500 0.500 0.500
CELL_PARAMETERS angstrom
4.818 0.000 0.000
0.000 4.818 0.000
0.000 0.000 4.818
```

Results
formation energy without anion corrections	2.187	eV/atom
distance to the lowest polymorph of the same formula	0.0	kJ per mole of atoms
V	22.4	Å³/atom
total energy	-5.92	eV per atom



10.
# Pr2Er2Tl7

Crystalline Pr2Er2Tl7 at its relaxed geometry (GGA-PBE, Alexandria). Values from VASP.

```
&SYSTEM
  ibrav = 0, nat = 11, ntyp = 3
/
ATOMIC_SPECIES
Pr 140.91 Pr.upf
Er 167.26 Er.upf
Tl 204.38 Tl.upf
ATOMIC_POSITIONS crystal
Pr 0.815 0.500 0.815
Pr 0.185 0.500 0.185
Er 0.713 0.000 0.287
Er 0.287 0.000 0.713
Tl 0.000 0.279 0.500
Tl 0.500 0.721 0.000
Tl 0.000 0.721 0.500
Tl 0.500 0.279 0.000
Tl 0.000 0.000 0.000
Tl 0.500 0.717 0.500
Tl 0.500 0.283 0.500
CELL_PARAMETERS angstrom
-5.014 0.182 -5.209
3.261 -5.332 -3.324
-3.016 -4.706 4.589
```

Results
energy of formation	0.054	eV/atom
V	33.1	Å³/atom
total energy	-3.15	eV per atom



11.
# TaTiAlRe

Crystalline TaTiAlRe at its relaxed geometry (GGA-PBE, Alexandria). Values from VASP.

```
&SYSTEM
  ibrav = 0, nat = 4, ntyp = 4
/
ATOMIC_SPECIES
Ta 180.95 Ta.upf
Ti 47.87 Ti.upf
Al 26.98 Al.upf
Re 186.21 Re.upf
ATOMIC_POSITIONS crystal
Ta 0.000 0.000 0.848
Ti 0.000 0.000 0.366
Al 0.500 0.500 0.113
Re 0.500 0.500 0.601
CELL_PARAMETERS angstrom
-1.429 0.304 -2.894
2.119 -2.102 -1.267
-3.765 -4.623 1.374
```

Results
energy of formation	-0.343	eV/atom
distance to the lowest polymorph of the same formula	0.0	kJ per mole of atoms
V	16.1	Å³/atom
total energy	-9.33	eV per atom



12.
# Mg

Crystalline Mg at its relaxed geometry (GGA-PBE, Alexandria). Values from VASP.

```
&SYSTEM
  ibrav = 0, nat = 12, ntyp = 1
/
ATOMIC_SPECIES
Mg 24.30 Mg.upf
ATOMIC_POSITIONS crystal
Mg 0.250 0.000 0.500
Mg 0.750 0.000 0.500
Mg 0.000 0.500 0.250
Mg 0.000 0.500 0.750
Mg 0.500 0.250 0.000
Mg 0.500 0.750 0.000
Mg 0.000 0.750 0.500
Mg 0.000 0.250 0.500
Mg 0.750 0.500 0.000
Mg 0.250 0.500 0.000
Mg 0.500 0.000 0.750
Mg 0.500 0.000 0.250
CELL_PARAMETERS angstrom
-7.796 2.809 -1.675
-2.778 -3.405 7.222
1.725 7.210 4.063
```

Results
energy of formation	0.814	eV/atom
distance to the lowest polymorph of the same formula	78.5	kJ per mole of atoms
V	50.3	Å³/atom
total energy	-0.78	eV per atom